Entry 1:
An optimized crystal structure of Zn2As, computed with GGA-PBE.

Lattice parameters (Å, degrees): 7.4258 7.4258 7.4258 90.00 90.00 90.00
With the nearest neighbours (Å) after each atom.
Space group Fd-3m (No. 227, origin choice 2)
Inequivalent atoms, fractional coordinates:
Zn 0.0000 0.0000 0.0000  6 Zn 2.63
As 0.1250 0.1250 0.6250  12 Zn 3.08, 4 As 3.22

The offset from the most stable computed form is 0.238 eV/atom. The formation energy comes out at 257 meV/atom. For the density of states at the Fermi level, the calculation gives 0.72 states/eV/atom.

Entry 2:
An optimized crystal structure of CePt12, computed with GGA-PBE.

Lattice parameters (Å, degrees): 10.7273 10.7273 10.7273 90.00 90.00 90.00
With the nearest neighbours (Å) after each atom.
Space group Fm-3m (No. 225)
Inequivalent atoms, fractional coordinates:
Ce 0.0000 0.0000 0.0000  24 Pt 3.98
Pt 0.0000 0.1700 0.3300  5 Pt 2.43-2.58

The formation energy comes out at 382 meV/atom. For the density of states at the Fermi level, the calculation gives 1.42 states/eV/atom.

Entry 3:
An optimized crystal structure of Dy3Y7Ho, computed with GGA-PBE.

Lattice parameters (Å, degrees): 6.9227 5.5356 9.9990 90.00 109.98 90.00
With the nearest neighbours (Å) after each atom.
Space group P2/m (No. 10)
Inequivalent atoms, fractional coordinates:
Dy 0.0000 0.0000 0.0000  2 Ho 3.46, 10 Y 3.51-3.82
Dy 0.2790 0.5000 0.4987  1 Dy 3.05, 4 Y 3.33-3.38
Y 0.0000 0.0000 0.5000  4 Dy 3.38
Y 0.1459 0.5000 0.7892  3 Y 3.27-3.53, 2 Dy 3.33-3.34
Y 0.3186 0.5000 0.1376  5 Y 3.27-3.53, 2 Ho 3.51, 2 Dy 3.51
Y 0.4174 0.0000 0.3300  3 Y 3.19-3.31, 1 Ho 3.54, 5 Dy 3.54-3.57
Ho 0.5000 0.0000 0.0000  2 Dy 3.46, 10 Y 3.51-3.82

The offset from the most stable computed form is 0.000 eV/atom. The formation energy comes out at 147 meV/atom. For the density of states at the Fermi level, the calculation gives 1.79 states/eV/atom.

Entry 4:
An optimized crystal structure of CuTcCl2, computed with GGA-PBE.

Lattice parameters (Å, degrees): 3.1903 3.1903 25.4943 90.00 90.00 120.00
With the nearest neighbours (Å) after each atom.
Space group R3m (No. 160, hexagonal axes)
Inequivalent atoms, fractional coordinates:
Cu 0.0000 0.0000 0.0000  3 Cl 2.36
Tc 0.0000 0.0000 0.7417  3 Cl 2.42, 3 Cu 2.66
Cl 0.0000 0.0000 0.2756  3 Cu 2.36
Cl 0.0000 0.0000 0.4698  3 Tc 2.42

The offset from the most stable computed form is 0.004 eV/atom. The calculation puts the uncorrected formation energy at 0 kJ/mol of formula units. For the density of states at the Fermi level, the calculation gives 0.33 states/eV/atom.

Q: Which value of density of states at the Fermi level does entry 1 give?
A: 0.72 states/eV/atom